Record 1
A geometry-optimized Zn2AsRu structure, computed with PBE-GGA.

CIF file:
```
data_Zn2AsRu
_cell_length_a 3.004
_cell_length_b 4.928
_cell_length_c 8.787
_cell_angle_alpha 90.00
_cell_angle_beta 90.00
_cell_angle_gamma 90.00
_symmetry_space_group_name_H-M 'C m m 2'
_symmetry_Int_Tables_number 35
loop_
_symmetry_equiv_pos_as_xyz
'x,y,z'
'-x,-y,z'
'-x,y,z'
'x,-y,z'
'x+1/2,y+1/2,z'
'-x+1/2,-y+1/2,z'
'-x+1/2,y+1/2,z'
'x+1/2,-y+1/2,z'
loop_
_atom_site_label
_atom_site_fract_x
_atom_site_fract_y
_atom_site_fract_z
Zn1 0.000 0.000 0.000
Zn2 0.000 0.500 0.250
As1 0.000 0.000 0.542
Ru1 0.000 0.500 0.760
```

* energy of formation: 0.70 eV per formula unit
* crystal system: orthorhombic

=====

Record 2
A geometry-optimized Zn2AsRu structure, computed with PBE-GGA.

CIF file:
```
data_Zn2AsRu
_cell_length_a 3.093
_cell_length_b 3.604
_cell_length_c 5.376
_cell_angle_alpha 90.00
_cell_angle_beta 90.00
_cell_angle_gamma 90.00
_symmetry_space_group_name_H-M 'P m m 2'
_symmetry_Int_Tables_number 25
loop_
_symmetry_equiv_pos_as_xyz
'x,y,z'
'-x,-y,z'
'-x,y,z'
'x,-y,z'
loop_
_atom_site_label
_atom_site_fract_x
_atom_site_fract_y
_atom_site_fract_z
Zn1 0.000 0.000 0.000
Zn2 0.500 0.500 0.222
As1 0.000 0.000 0.519
Ru1 0.500 0.500 0.723
```

* energy of formation: -0.12 eV per formula unit
* crystal system: orthorhombic

=====

Computed electronic total energy (eV per cell) in order:
-31.55 -16.60